! PBE+U Pa2MnAlO8, optimized geometry; values from VASP
! total magnetization: 0.33 μB/atom
! calculated total energy: -105.163 eV/cell
&SYSTEM
  ibrav = 0, nat = 12, ntyp = 4
/
ATOMIC_SPECIES
O 16.00 O.upf
Mn 54.94 Mn.upf
Al 26.98 Al.upf
Pa 231.04 Pa.upf
CELL_PARAMETERS angstrom
4.684 -0.123 0.147
-0.102 4.689 -0.158
0.226 -0.217 7.113
ATOMIC_POSITIONS angstrom
O 3.784 0.795 1.527
O 1.024 3.554 5.576
O 1.471 1.243 3.556
O 1.560 1.107 7.105
O 3.248 3.242 -0.003
O 3.337 3.106 3.546
O 0.803 3.785 1.745
O 4.005 0.564 5.358
Mn 0.113 -0.108 3.556
Al 0.000 0.000 0.000
Pa 2.486 2.102 5.361
Pa 2.322 2.248 1.741